## Ba2TaW (PBE-GGA)

Data for crystalline Ba2TaW at its relaxed geometry.

## Properties
E_form: 97.0 kJ per mole of atoms
raw total energy: -6.1578 eV/atom
D(E_F): 4.22 states/eV/f.u.
offset from the most stable computed form: 31.1 kJ per mole of atoms

```
data_Ba2TaW
_symmetry_space_group_name_H-M 'I m m 2'
_symmetry_Int_Tables_number 44
_symmetry_space_group_name_Hall 'I 2 -2'
_cell_length_a 3.669
_cell_length_b 5.943
_cell_length_c 11.626
_cell_angle_alpha 90.00
_cell_angle_beta 90.00
_cell_angle_gamma 90.00
loop_
_atom_site_label
_atom_site_type_symbol
_atom_site_fract_x
_atom_site_fract_y
_atom_site_fract_z
Ba1 Ba 0.000 0.000 0.000
Ba2 Ba 0.000 0.500 0.204
Ta1 Ta 0.000 0.000 0.414
W1 W 0.000 0.500 0.770
```